1.
# Pr2Sm2CBr2Cl3 (GGA-PBE, relaxed)
data_Pr2Sm2CBr2Cl3
_chemical_formula_sum 'Pr2 Sm2 C1 Br2 Cl3'
_cell_length_a 9.311
_cell_length_b 9.311
_cell_length_c 8.045
_cell_angle_alpha 104.49
_cell_angle_beta 104.49
_cell_angle_gamma 23.95
_space_group_name_H-M_alt 'P 1'
_space_group_IT_number 1
_space_group_name_Hall 'P 1'
loop_
_atom_site_label
_atom_site_type_symbol
_atom_site_fract_x
_atom_site_fract_y
_atom_site_fract_z
Cl1 Cl 0.500 0.500 0.500
Cl2 Cl 0.158 0.158 0.352
Cl3 Cl 0.842 0.842 0.648
Pr1 Pr 0.356 0.356 0.913
Pr2 Pr 0.644 0.644 0.087
Sm1 Sm 0.000 0.000 0.786
Sm2 Sm 0.000 0.000 0.214
Br1 Br 0.167 0.167 0.816
Br2 Br 0.833 0.833 0.184
C1 C 0.500 0.500 0.000
# Calculated total energy, eV/atom: -5.296
# Symmetry: C2/m

***

2.
# Pr2Sm2CBr2Cl3 (GGA-PBE, relaxed)
data_Pr2Sm2CBr2Cl3
_chemical_formula_sum 'Pr2 Sm2 C1 Br2 Cl3'
_cell_length_a 9.110
_cell_length_b 9.110
_cell_length_c 8.069
_cell_angle_alpha 103.14
_cell_angle_beta 103.14
_cell_angle_gamma 24.54
_space_group_name_H-M_alt 'P 1'
_space_group_IT_number 1
_space_group_name_Hall 'P 1'
loop_
_atom_site_label
_atom_site_type_symbol
_atom_site_fract_x
_atom_site_fract_y
_atom_site_fract_z
Cl1 Cl 0.832 0.832 0.171
Cl2 Cl 0.500 0.500 0.500
Cl3 Cl 0.168 0.168 0.829
Sm1 Sm 0.997 0.997 0.212
Sm2 Sm 0.003 0.003 0.788
Br1 Br 0.165 0.165 0.364
Br2 Br 0.835 0.835 0.636
C1 C 0.500 0.500 0.000
Pr1 Pr 0.353 0.353 0.920
Pr2 Pr 0.647 0.647 0.080
# Calculated total energy, eV/atom: -5.291
# Symmetry: C2/m

***

3.
# Pr2Y2CBr4Cl (GGA-PBE, relaxed)
data_Pr2Y2CBr4Cl
_chemical_formula_sum 'Pr2 Y2 C1 Br4 Cl1'
_cell_length_a 9.273
_cell_length_b 9.273
_cell_length_c 8.232
_cell_angle_alpha 102.52
_cell_angle_beta 102.52
_cell_angle_gamma 24.30
_space_group_name_H-M_alt 'P 1'
_space_group_IT_number 1
_space_group_name_Hall 'P 1'
loop_
_atom_site_label
_atom_site_type_symbol
_atom_site_fract_x
_atom_site_fract_y
_atom_site_fract_z
C1 C 0.500 0.500 0.000
Br1 Br 0.826 0.826 0.159
Br2 Br 0.168 0.168 0.335
Br3 Br 0.174 0.174 0.841
Br4 Br 0.832 0.832 0.665
Pr1 Pr 0.999 0.999 0.214
Pr2 Pr 0.001 0.001 0.786
Cl1 Cl 0.500 0.500 0.500
Y1 Y 0.637 0.637 0.073
Y2 Y 0.363 0.363 0.927
# Calculated total energy, eV/atom: -5.509
# Symmetry: C2/m

***

4.
# Pr2Y2CBr4Cl (GGA-PBE, relaxed)
data_Pr2Y2CBr4Cl
_chemical_formula_sum 'Pr2 Y2 C1 Br4 Cl1'
_cell_length_a 9.267
_cell_length_b 9.267
_cell_length_c 8.069
_cell_angle_alpha 103.56
_cell_angle_beta 103.56
_cell_angle_gamma 23.88
_space_group_name_H-M_alt 'P 1'
_space_group_IT_number 1
_space_group_name_Hall 'P 1'
loop_
_atom_site_label
_atom_site_type_symbol
_atom_site_fract_x
_atom_site_fract_y
_atom_site_fract_z
C1 C 0.500 0.500 0.000
Y1 Y 0.000 0.000 0.207
Y2 Y 0.000 0.000 0.793
Pr1 Pr 0.355 0.355 0.920
Pr2 Pr 0.645 0.645 0.080
Br1 Br 0.165 0.165 0.807
Br2 Br 0.835 0.835 0.193
Br3 Br 0.160 0.160 0.366
Br4 Br 0.840 0.840 0.634
Cl1 Cl 0.500 0.500 0.500
# Calculated total energy, eV/atom: -5.496
# Symmetry: C2/m